A geometry-optimized Ca2Sm5Tm structure. Source: Alexandria, functional PBE.

Cell lengths 11.117, 11.117, 11.117 Å; angles 153.19, 153.19, 38.27 degrees
Atoms (fractional coordinates):
Ca 0.250 0.250 0.000
Ca 0.750 0.750 0.000
Sm 0.000 0.000 0.000
Sm 0.117 0.617 0.500
Sm 0.383 0.883 0.500
Sm 0.617 0.117 0.500
Sm 0.883 0.383 0.500
Tm 0.500 0.500 0.000

Computed properties:
energy relative to the elements	54	meV per atom
D(E_F)	1.45	states/eV/atom
magnetic moment	0.00	μB per formula unit
symmetry	No. 139


A geometry-optimized CaSm2Tm2 structure. Source: Alexandria, functional PBE.

Cell lengths 9.172, 9.172, 3.534 Å; angles 90.00, 90.00, 145.05 degrees
Atoms (fractional coordinates):
Ca 0.000 0.000 0.000
Sm 0.377 0.623 0.500
Sm 0.623 0.377 0.500
Tm 0.201 0.799 0.000
Tm 0.799 0.201 0.000

Computed properties:
energy relative to the elements	45	meV per atom
D(E_F)	1.38	states/eV/atom
magnetic moment	0.00	μB per formula unit
symmetry	No. 65


A geometry-optimized Ca2SmTm structure. Source: Alexandria, functional PBE.

Cell lengths 13.236, 13.236, 13.236 Å; angles 15.52, 15.52, 15.52 degrees
Atoms (fractional coordinates):
Ca 0.087 0.087 0.087
Ca 0.913 0.913 0.913
Sm 0.500 0.500 0.500
Tm 0.000 0.000 0.000

Computed properties:
energy relative to the elements	259	meV per atom
D(E_F)	1.58	states/eV/atom
magnetic moment	0.56	μB per formula unit
symmetry	No. 166
energy above the most stable polymorph in this dataset	131	meV/atom


Copy entry 3 word for word.
A geometry-optimized Ca2SmTm structure. Source: Alexandria, functional PBE.

Cell lengths 13.236, 13.236, 13.236 Å; angles 15.52, 15.52, 15.52 degrees
Atoms (fractional coordinates):
Ca 0.087 0.087 0.087
Ca 0.913 0.913 0.913
Sm 0.500 0.500 0.500
Tm 0.000 0.000 0.000

Computed properties:
energy relative to the elements	259	meV per atom
D(E_F)	1.58	states/eV/atom
magnetic moment	0.56	μB per formula unit
symmetry	No. 166
energy above the most stable polymorph in this dataset	131	meV/atom


Which value of magnetic moment does entry 3 give? 0.56 μB per formula unit


Which value of energy relative to the elements does entry 2 give? 45 meV per atom